1.
ZnInP | PBE | optimized geometry

Properties
**Formation energy from the elements**: 0.006 eV per atom

Cell: 4.0525 4.0525 9.6462 Å, 90.00 90.00 120.00°
Last column: nearest neighbours and their distance in Å.
Positions (direct):
In (0.0000, 0.0000, 0.0000)  6 Zn 3.36, 6 P 3.36
Zn (0.3333, 0.6667, 0.2500)  3 P 2.34
Zn (0.6667, 0.3333, 0.7500)  3 P 2.34
P (0.6667, 0.3333, 0.2500)  3 Zn 2.34
In (0.0000, 0.0000, 0.5000)  6 Zn 3.36, 6 P 3.36
P (0.3333, 0.6667, 0.7500)  3 Zn 2.34


2.
ZnIn2P | PBE | optimized geometry

Properties
**Formation energy from the elements**: 0.061 eV per atom

Cell: 3.7962 4.4989 5.6301 Å, 66.59 90.00 90.00°
Last column: nearest neighbours and their distance in Å.
Positions (direct):
In (0.0000, 0.0079, 0.0590)  2 P 2.88-2.91, 2 Zn 2.93
In (0.5000, 0.7267, 0.6914)  2 P 2.84, 2 Zn 2.88-2.97
P (0.0000, 0.4017, 0.5056)  2 Zn 2.45
Zn (0.5000, 0.3637, 0.2440)  2 P 2.45


3.
ZnInP | PBE | optimized geometry

Properties
**Formation energy from the elements**: 0.327 eV per atom

Cell: 4.5773 4.5773 4.5773 Å, 60.00 60.00 60.00°
Last column: nearest neighbours and their distance in Å.
Positions (direct):
Zn (0.5000, 0.5000, 0.5000)  4 In 2.80
P (0.0000, 0.0000, 0.0000)  4 In 2.80
In (0.2500, 0.2500, 0.2500)  4 Zn 2.80, 4 P 2.80


4.
ZnInP2 | PBE | optimized geometry

Properties
**Formation energy from the elements**: 0.513 eV per atom

Cell: 4.6803 4.6803 4.6803 Å, 60.00 60.00 60.00°
Last column: nearest neighbours and their distance in Å.
Positions (direct):
In (0.5000, 0.5000, 0.5000)  4 P 2.87, 4 Zn 2.87
Zn (0.7500, 0.7500, 0.7500)  4 P 2.87, 4 In 2.87
P (0.0000, 0.0000, 0.0000)  4 Zn 2.87, 4 P 2.87
P (0.2500, 0.2500, 0.2500)  4 In 2.87, 4 P 2.87


5.
ZnIn2P | PBE | optimized geometry

Properties
**Formation energy from the elements**: 0.224 eV per atom

Cell: 5.3780 5.3780 5.3780 Å, 138.59 112.83 82.06°
Last column: nearest neighbours and their distance in Å.
Positions (direct):
P (0.5000, 0.0000, 0.5000)  4 In 2.70
In (0.7367, 0.7367, 0.0000)  2 P 2.70, 2 Zn 2.86
In (0.2633, 0.2633, 0.0000)  2 P 2.70, 2 Zn 2.86
Zn (0.0000, 0.5000, 0.5000)  4 In 2.86


6.
ZnInP | PBE | optimized geometry

Properties
**Formation energy from the elements**: -0.026 eV per atom

Cell: 3.9516 5.7072 6.7729 Å, 101.86 90.08 110.04°
Last column: nearest neighbours and their distance in Å.
Positions (direct):
Zn (0.9025, 0.3042, 0.7988)  3 P 2.48-2.50, 1 In 2.68
In (0.6450, 0.7918, 0.7142)  1 Zn 2.68, 3 P 2.73-2.74
P (0.5000, 0.5000, 0.0000)  4 Zn 2.50, 2 In 2.74
Zn (0.0975, 0.6958, 0.2012)  3 P 2.48-2.50, 1 In 2.68
P (0.0000, 0.5000, 0.5000)  2 Zn 2.48, 4 In 2.73
In (0.3550, 0.2082, 0.2858)  1 Zn 2.68, 3 P 2.73-2.74


7.
Zn3InP | PBE | optimized geometry

Properties
**Formation energy from the elements**: 0.284 eV per atom

Cell: 4.7706 4.7706 4.7706 Å, 90.00 90.00 90.00°
Last column: nearest neighbours and their distance in Å.
Positions (direct):
In (0.5000, 0.5000, 0.5000)  12 Zn 3.37
Zn (0.0000, 0.0000, 0.5000)  2 P 2.39
P (0.0000, 0.0000, 0.0000)  6 Zn 2.39
Zn (0.5000, 0.0000, 0.0000)  2 P 2.39
Zn (0.0000, 0.5000, 0.0000)  2 P 2.39


8.
Zn4InP | PBE | optimized geometry

Properties
**Formation energy from the elements**: 0.253 eV per atom

Cell: 5.2880 5.2880 5.2880 Å, 60.00 60.00 60.00°
Last column: nearest neighbours and their distance in Å.
Positions (direct):
Zn (0.6260, 0.1220, 0.6260)  6 Zn 2.62-2.67
Zn (0.1220, 0.6260, 0.6260)  6 Zn 2.62-2.67
P (0.0000, 0.0000, 0.0000)  12 Zn 3.10, 4 In 3.24
In (0.2500, 0.2500, 0.2500)  12 Zn 3.10, 4 P 3.24
Zn (0.6260, 0.6260, 0.1220)  6 Zn 2.62-2.67
Zn (0.6260, 0.6260, 0.6260)  6 Zn 2.62-2.67


Question: Which formula does entry 8 have?
Answer: Zn4InP